Record 1
The following is a DFT calculation (PBE) of a geometry-optimized Th2PdPt5 structure.

Results
* mass density: 14.79 g/cm3
* calculated total energy: -55.9 eV/f.u.
* magnetization: 0.000 μB per atom
* crystal system: trigonal
* energy of formation: -704 meV per atom
* DOS(E_F): 0.60 states/eV/atom

Unit cell a=4.4058 b=4.4058 c=30.9665 alpha=90.00 beta=90.00 gamma=120.00
Space group R-3m (No. 166, hexagonal axes)
Asymmetric unit:
Th1 0.0000 0.0000 0.0898 (multiplicity 6)
Pd1 0.0000 0.0000 0.0000 (multiplicity 3)
Pt1 0.0000 0.0000 0.1899 (multiplicity 6)
Pt2 0.0000 0.0000 0.3674 (multiplicity 6)
Pt3 0.0000 0.0000 0.5000 (multiplicity 3)

Record 2
The following is a DFT calculation (PBE) of a geometry-optimized SmHoSe2O structure.

Results
* mass density: 6.94 g/cm3
* calculated total energy: -33.2 eV/f.u.
* magnetization: 0.000 μB per atom
* crystal system: tetragonal
* uncorrected formation energy: -1155 kJ/mol of formula units
* DOS(E_F): 0.20 states/eV/atom

Unit cell a=4.012 b=4.012 c=14.545 alpha=90.00 beta=90.00 gamma=90.00
Space group P4/nmm (No. 129, origin choice 2)
Asymmetric unit:
Sm1 0.250 0.250 0.080 (multiplicity 2)
Ho1 0.250 0.250 0.625 (multiplicity 2)
Se1 0.250 0.250 0.411 (multiplicity 2)
Se2 0.250 0.250 0.805 (multiplicity 2)
O1 0.250 0.750 0.000 (multiplicity 2)

Record 3
The following is a DFT calculation (PBE) of a geometry-optimized Np2IBr8 structure.

Results
* mass density: 3.93 g/cm3
* calculated total energy: -52.5 eV/f.u.
* magnetization: 0.455 μB per atom
* crystal system: monoclinic
* uncorrected formation energy: -1128 kJ/mol of formula units
* DOS(E_F): 1.29 states/eV/atom

Unit cell a=8.782 b=12.640 c=9.481 alpha=90.00 beta=94.46 gamma=90.00
Space group C2/m (No. 12)
Asymmetric unit:
Np1 0.117 0.000 0.206 (multiplicity 4)
I1 0.000 0.000 0.500 (multiplicity 2)
Br1 0.090 0.500 0.704 (multiplicity 4)
Br2 0.112 0.209 0.208 (multiplicity 8)
Br3 0.189 0.000 0.919 (multiplicity 4)

Record 4
The following is a DFT calculation (PBE) of a geometry-optimized Sc2TcOs structure.

Results
* mass density: 8.62 g/cm3
* calculated total energy: -33.5 eV/f.u.
* magnetization: 0.000 μB per atom
* crystal system: trigonal
* energy of formation: 199 meV per atom
* DOS(E_F): 0.98 states/eV/atom

Unit cell a=3.0023 b=3.0023 c=28.0088 alpha=90.00 beta=90.00 gamma=120.00
Space group R3m (No. 160, hexagonal axes)
Asymmetric unit:
Sc1 0.0000 0.0000 0.0000 (multiplicity 3)
Sc2 0.0000 0.0000 0.2278 (multiplicity 3)
Tc1 0.0000 0.0000 0.4821 (multiplicity 3)
Os1 0.0000 0.0000 0.7439 (multiplicity 3)

Record 5
The following is a DFT calculation (PBE) of a geometry-optimized CsSrCl2 structure.

Results
* relative energy among the computed polymorphs: 0.000 eV per atom
* mass density: 2.55 g/cm3
* calculated total energy: -13.3 eV/f.u.
* magnetization: 0.001 μB per atom
* crystal system: trigonal
* uncorrected formation energy: -686 kJ/mol of formula units
* DOS(E_F): 0.49 states/eV/atom

Unit cell a=4.7488 b=4.7488 c=29.1816 alpha=90.00 beta=90.00 gamma=120.00
Space group R-3m (No. 166, hexagonal axes)
Asymmetric unit:
Cs1 0.0000 0.0000 0.0000 (multiplicity 3)
Sr1 0.0000 0.0000 0.5000 (multiplicity 3)
Cl1 0.0000 0.0000 0.1236 (multiplicity 6)

Record 6
The following is a DFT calculation (PBE) of a geometry-optimized Be2CoPd structure.

Results
* relative energy among the computed polymorphs: 0.000 eV per atom
* mass density: 7.62 g/cm3
* calculated total energy: -21.6 eV/f.u.
* magnetization: 0.000 μB per atom
* crystal system: tetragonal
* energy of formation: -463 meV per atom
* DOS(E_F): 0.22 states/eV/atom

Unit cell a=2.716 b=2.716 c=5.415 alpha=90.00 beta=90.00 gamma=90.00
Space group P4/mmm (No. 123)
Asymmetric unit:
Be1 0.000 0.000 0.216 (multiplicity 2)
Co1 0.500 0.500 0.000 (multiplicity 1)
Pd1 0.500 0.500 0.500 (multiplicity 1)

Record 7
The following is a DFT calculation (PBE) of a geometry-optimized Ba3Ga5Br12 structure.

Results
* mass density: 3.72 g/cm3
* calculated total energy: -65.5 eV/f.u.
* magnetization: 0.000 μB per atom
* crystal system: cubic
* uncorrected formation energy: -2366 kJ/mol of formula units
* DOS(E_F): 0.68 states/eV/atom

Unit cell a=18.315 b=18.315 c=18.315 alpha=90.00 beta=90.00 gamma=90.00
Space group Ia-3d (No. 230)
Asymmetric unit:
Ba1 0.000 0.250 0.125 (multiplicity 24)
Ga1 0.000 0.000 0.000 (multiplicity 16)
Ga2 0.000 0.250 0.375 (multiplicity 24)
Br1 0.022 0.066 0.654 (multiplicity 96)

Record 8
The following is a DFT calculation (PBE) of a geometry-optimized PaZnGaGe structure.

Results
* mass density: 9.25 g/cm3
* calculated total energy: -19.7 eV/f.u.
* magnetization: 0.000 μB per atom
* crystal system: orthorhombic
* energy of formation: -328 meV per atom
* DOS(E_F): 1.05 states/eV/atom

Unit cell a=4.162 b=4.214 c=4.490 alpha=90.00 beta=90.00 gamma=90.00
Space group Pmmm (No. 47)
Asymmetric unit:
Pa1 0.000 0.000 0.000 (multiplicity 1)
Zn1 0.000 0.500 0.500 (multiplicity 1)
Ga1 0.500 0.000 0.500 (multiplicity 1)
Ge1 0.500 0.500 0.000 (multiplicity 1)

Record 9
The following is a DFT calculation (PBE) of a geometry-optimized Mg3C5 structure.

Results
* relative energy among the computed polymorphs: 1.387 eV per atom
* mass density: 2.76 g/cm3
* calculated total energy: -34.8 eV/f.u.
* magnetization: 0.000 μB per atom
* crystal system: orthorhombic
* energy of formation: 2016 meV per atom
* DOS(E_F): 0.34 states/eV/atom

Unit cell a=6.281 b=6.888 c=3.703 alpha=90.00 beta=90.00 gamma=90.00
Space group Cmmm (No. 65)
Asymmetric unit:
Mg1 0.000 0.000 0.000 (multiplicity 2)
Mg2 0.000 0.290 0.500 (multiplicity 4)
C1 0.000 0.500 0.000 (multiplicity 2)
C2 0.226 0.000 0.500 (multiplicity 4)
C3 0.250 0.250 0.000 (multiplicity 4)

Record 10
The following is a DFT calculation (PBE) of a geometry-optimized Pu2CuF structure.

Results
* mass density: 12.61 g/cm3
* calculated total energy: -37.8 eV/f.u.
* magnetization: 3.033 μB per atom
* crystal system: tetragonal
* uncorrected formation energy: -307 kJ/mol of formula units
* DOS(E_F): 2.69 states/eV/atom

Unit cell a=3.069 b=3.069 c=7.976 alpha=90.00 beta=90.00 gamma=90.00
Space group P4/mmm (No. 123)
Asymmetric unit:
Pu1 0.000 0.000 0.246 (multiplicity 2)
Cu1 0.500 0.500 0.500 (multiplicity 1)
F1 0.500 0.500 0.000 (multiplicity 1)